Record 1
Entry from the Alexandria database: a crystal of BP2SF relaxed with PBEsol (SCAN).

a = 4.025 Å, b = 4.025 Å, c = 4.088 Å
α = 90.00°, β = 90.00°, γ = 90.00°
Atoms (fractional coordinates):
B 0.000 0.000 0.000
P 0.000 0.500 0.000
P 0.500 0.000 0.000
S 0.000 0.000 0.500
F 0.500 0.500 0.500

=====

Record 2
Entry from the Alexandria database: a crystal of B3PtF relaxed with PBEsol (SCAN).

a = 3.612 Å, b = 3.612 Å, c = 3.612 Å
α = 90.00°, β = 90.00°, γ = 90.00°
Atoms (fractional coordinates):
B 0.000 0.000 0.500
B 0.000 0.500 0.000
B 0.500 0.000 0.000
Pt 0.500 0.500 0.500
F 0.000 0.000 0.000

=====

Record 3
Entry from the Alexandria database: a crystal of SrBPtF2 relaxed with PBEsol (SCAN).

a = 4.292 Å, b = 4.292 Å, c = 4.090 Å
α = 90.00°, β = 90.00°, γ = 90.00°
Atoms (fractional coordinates):
Sr 0.000 0.000 0.000
B 0.500 0.500 0.500
Pt 0.500 0.500 0.000
F 0.000 0.500 0.500
F 0.500 0.000 0.500

=====

Record 4
Entry from the Alexandria database: a crystal of RbSiB2F relaxed with PBEsol (SCAN).

a = 3.875 Å, b = 3.875 Å, c = 8.001 Å
α = 90.00°, β = 90.00°, γ = 90.00°
Atoms (fractional coordinates):
Rb 0.000 0.000 0.000
Si 0.000 0.000 0.500
B 0.000 0.500 0.500
B 0.500 0.000 0.500
F 0.500 0.500 0.000

=====

Per-record E_form (uncorrected), eV per atom: 0.6989; 1.6922; -1.3486; 0.1318
Per-record DOS at the Fermi energy, states/eV/atom: 0.4180; 0.3363; 0.2147; 0.1581
Per-record total magnetic moment, μB/atom: 0.000; 0.000; 0.000; 0.000